1.
Compound: ScZnCr3
Source: the Alexandria database
Functional: PBE
Structure: optimized geometry

abc: 4.415 4.415 4.415
angles: 90.00 90.00 90.00
Fractional coordinates of all 5 atoms:
1 Sc 0.000 0.000 0.000
2 Zn 0.500 0.500 0.500
3 Cr 0.000 0.500 0.500
4 Cr 0.500 0.000 0.500
5 Cr 0.500 0.500 0.000

total magnetic moment = 0.00 μB/f.u.
volume = 17.21 A^3/atom
symmetry = Pm-3m
crystal system = cubic

2.
Compound: AgBiPt
Source: the Alexandria database
Functional: PBE
Structure: optimized geometry

abc: 4.620 4.620 4.620
angles: 60.00 60.00 60.00
Fractional coordinates of all 3 atoms:
1 Ag 0.000 0.000 0.000
2 Bi 0.500 0.500 0.500
3 Pt 0.250 0.250 0.250

total magnetic moment = 0.00 μB/f.u.
volume = 23.24 A^3/atom
symmetry = F-43m
crystal system = cubic
polymorph energy (0 for the lowest one) = 0 meV/atom

3.
Compound: YInFeB2
Source: the Alexandria database
Functional: PBE
Structure: optimized geometry

abc: 4.362 4.362 4.763
angles: 90.00 90.00 90.00
Fractional coordinates of all 5 atoms:
1 Y 0.000 0.000 0.000
2 In 0.500 0.500 0.500
3 Fe 0.500 0.500 0.000
4 B 0.000 0.500 0.500
5 B 0.500 0.000 0.500

total magnetic moment = 0.04 μB/f.u.
volume = 18.12 A^3/atom
symmetry = P4/mmm
crystal system = tetragonal

4.
Compound: Na4Tl2P
Source: the Alexandria database
Functional: PBE
Structure: optimized geometry

abc: 6.242 7.834 9.487
angles: 93.02 109.07 113.47
Fractional coordinates of all 14 atoms:
1 Na 0.000 0.000 0.000
2 Na 0.015 0.546 0.487
3 Na 0.035 0.969 0.598
4 Na 0.111 0.585 0.133
5 Na 0.528 0.968 0.597
6 Na 0.604 0.585 0.132
7 Na 0.623 0.006 0.242
8 Na 0.640 0.554 0.729
9 Tl 0.067 0.341 0.799
10 Tl 0.319 0.276 0.364
11 Tl 0.320 0.777 0.865
12 Tl 0.572 0.212 0.931
13 P 0.119 0.926 0.312
14 P 0.520 0.627 0.417

total magnetic moment = 0.00 μB/f.u.
volume = 28.08 A^3/atom
symmetry = P1
crystal system = triclinic

5.
Compound: Na2ZrCd
Source: the Alexandria database
Functional: PBE
Structure: optimized geometry

abc: 6.751 6.751 6.751
angles: 101.30 101.30 127.44
Fractional coordinates of all 8 atoms:
1 Na 0.096 0.625 0.971
2 Na 0.375 0.346 0.471
3 Na 0.654 0.125 0.029
4 Na 0.875 0.904 0.529
5 Zr 0.250 0.750 0.500
6 Zr 0.500 0.500 0.000
7 Cd 0.000 0.000 0.000
8 Cd 0.750 0.250 0.500

total magnetic moment = 1.63 μB/f.u.
volume = 27.38 A^3/atom
symmetry = I-42d
crystal system = tetragonal

Looking at energy of formation for the records above, in order, we have 1.4170 -0.1026 1.5359 -0.1055 0.6692 eV/atom.
Looking at mass density for the records above, in order, we have 5.1 12.2 5.2 4.5 3.8 g/cm³.